VASP calculation (PBE) on a geometry-optimized Sc3Pd2 structure.

Values from the calculation:
Total magnetization, μB/atom: 0.000
Final energy, eV/atom: -6.578
DFT formation energy, meV per atom: -702
Crystal system: tetragonal
Space-group type: P4/mbm

a = 7.350 Å, b = 7.350 Å, c = 3.707 Å
α = 90.00°, β = 90.00°, γ = 90.00°
Positions (direct):
Sc 0.000 0.000 0.000
Sc 0.162 0.338 0.500
Sc 0.338 0.838 0.500
Sc 0.500 0.500 0.000
Sc 0.662 0.162 0.500
Sc 0.838 0.662 0.500
Pd 0.137 0.637 0.000
Pd 0.363 0.137 0.000
Pd 0.637 0.863 0.000
Pd 0.863 0.363 0.000